# MgMnZn | the Alexandria database | meta-GGA SCAN | single point on PBEsol structure
# Fermi-level density of states (states/eV per atom): 0.893
# Crystal system: cubic
# Size of the total moment (μB per cell): 15.5
# E_form (eV per atom): 0.32
# Calculated volume (Å³/atom): 18.5
data_MgMnZn
_symmetry_space_group_name_H-M 'F -4 3 m'
_symmetry_Int_Tables_number 216
_symmetry_space_group_name_Hall 'F -4 2 3'
_cell_length_a 6.060
_cell_length_b 6.060
_cell_length_c 6.060
_cell_angle_alpha 90.00
_cell_angle_beta 90.00
_cell_angle_gamma 90.00
loop_
_atom_site_label
_atom_site_fract_x
_atom_site_fract_y
_atom_site_fract_z
_atom_site_occupancy
Mg1 0.000 0.000 0.000 1
Mn1 0.250 0.250 0.750 1
Zn1 0.000 0.000 0.500 1

# KNa3Al4Si4O16 | the Alexandria database | meta-GGA SCAN | single point on PBEsol structure
# Fermi-level density of states (states/eV per atom): 0.000
# Crystal system: triclinic
# E_form (uncorrected) (meV per atom): -3014
# Size of the total moment (μB per cell): 0.0
# Calculated volume (Å³/atom): 13.1
data_KNa3Al4Si4O16
_symmetry_space_group_name_H-M 'P 1'
_symmetry_Int_Tables_number 1
_cell_length_a 8.431
_cell_length_b 9.924
_cell_length_c 10.022
_cell_angle_alpha 61.17
_cell_angle_beta 89.68
_cell_angle_gamma 89.68
loop_
_symmetry_equiv_pos_as_xyz
'x,y,z'
loop_
_atom_site_label
_atom_site_fract_x
_atom_site_fract_y
_atom_site_fract_z
_atom_site_occupancy
K1 0.000 0.000 0.000 1
K2 0.500 0.019 0.979 1
Na1 0.482 0.993 0.420 1
Na2 0.490 0.435 0.542 1
Na3 0.497 0.562 0.967 1
Na4 0.983 0.568 0.438 1
Na5 0.993 0.441 0.983 1
Na6 0.999 0.998 0.538 1
Al1 0.180 0.903 0.323 1
Al2 0.298 0.655 0.650 1
Al3 0.301 0.242 0.081 1
Al4 0.305 0.094 0.648 1
Al5 0.794 0.907 0.323 1
Al6 0.799 0.760 0.885 1
Al7 0.800 0.346 0.320 1
Al8 0.808 0.323 0.746 1
Si1 0.173 0.328 0.745 1
Si2 0.179 0.346 0.320 1
Si3 0.179 0.756 0.890 1
Si4 0.302 0.669 0.221 1
Si5 0.664 0.672 0.217 1
Si6 0.680 0.095 0.641 1
Si7 0.680 0.243 0.084 1
Si8 0.683 0.651 0.649 1
O1 0.000 0.275 0.715 1
O2 0.170 0.754 0.270 1
O3 0.180 0.291 0.921 1
O4 0.186 0.938 0.770 1
O5 0.197 0.511 0.629 1
O6 0.212 0.347 0.160 1
O7 0.224 0.180 0.464 1
O8 0.253 0.646 0.828 1
O9 0.255 0.837 0.505 1
O10 0.291 0.723 0.039 1
O11 0.292 0.481 0.325 1
O12 0.305 0.044 0.191 1
O13 0.312 0.228 0.715 1
O14 0.481 0.715 0.249 1
O15 0.498 0.602 0.657 1
O16 0.499 0.306 0.030 1
O17 0.500 0.034 0.642 1
O18 0.667 0.062 0.210 1
O19 0.669 0.227 0.693 1
O20 0.670 0.718 0.038 1
O21 0.687 0.489 0.332 1
O22 0.713 0.822 0.507 1
O23 0.730 0.646 0.810 1
O24 0.757 0.163 0.471 1
O25 0.766 0.348 0.147 1
O26 0.787 0.258 0.941 1
O27 0.788 0.522 0.630 1
O28 0.789 0.775 0.251 1
O29 0.796 0.956 0.758 1
O30 0.986 0.966 0.317 1
O31 0.996 0.707 0.946 1
O32 0.997 0.395 0.330 1

# B2TePbSe | the Alexandria database | meta-GGA SCAN | single point on PBEsol structure
# Fermi-level density of states (states/eV per atom): 0.565
# Crystal system: tetragonal
# E_form (uncorrected) (meV per atom): 1515
# Size of the total moment (μB per cell): 0.0
# Calculated volume (Å³/atom): 21.8
data_B2TePbSe
_symmetry_space_group_name_H-M 'P 4/m m m'
_symmetry_Int_Tables_number 123
_symmetry_space_group_name_Hall '-P 4 2'
_cell_length_a 4.335
_cell_length_b 4.335
_cell_length_c 5.805
_cell_angle_alpha 90.00
_cell_angle_beta 90.00
_cell_angle_gamma 90.00
loop_
_atom_site_label
_atom_site_fract_x
_atom_site_fract_y
_atom_site_fract_z
_atom_site_occupancy
B1 0.000 0.500 0.000 1
Te1 0.000 0.000 0.500 1
Pb1 0.500 0.500 0.500 1
Se1 0.000 0.000 0.000 1

# GdB2 | the Alexandria database | meta-GGA SCAN | single point on PBEsol structure
# Fermi-level density of states (states/eV per atom): 0.373
# Crystal system: hexagonal
# Size of the total moment (μB per cell): 7.5
# E_form (eV per atom): -0.51
# Calculated volume (Å³/atom): 12.0
data_GdB2
_symmetry_space_group_name_H-M 'P 6/m m m'
_symmetry_Int_Tables_number 191
_symmetry_space_group_name_Hall '-P 6 2'
_cell_length_a 3.2699
_cell_length_b 3.2699
_cell_length_c 3.8979
_cell_angle_alpha 90.00
_cell_angle_beta 90.00
_cell_angle_gamma 120.00
loop_
_atom_site_label
_atom_site_fract_x
_atom_site_fract_y
_atom_site_fract_z
_atom_site_occupancy
Gd1 0.0000 0.0000 0.0000 1
B1 0.3333 0.6667 0.5000 1

# Mg3Ti4P6O24 | the Alexandria database | meta-GGA SCAN | single point on PBEsol structure
# Fermi-level density of states (states/eV per atom): 0.147
# Crystal system: triclinic
# E_form (uncorrected) (meV per atom): -2846
# Size of the total moment (μB per cell): 4.0
# Calculated volume (Å³/atom): 11.3
data_Mg3Ti4P6O24
_symmetry_space_group_name_H-M 'P -1'
_symmetry_Int_Tables_number 2
_cell_length_a 6.400
_cell_length_b 7.940
_cell_length_c 9.397
_cell_angle_alpha 105.07
_cell_angle_beta 107.28
_cell_angle_gamma 102.21
loop_
_symmetry_equiv_pos_as_xyz
'x,y,z'
'-x,-y,-z'
loop_
_atom_site_label
_atom_site_fract_x
_atom_site_fract_y
_atom_site_fract_z
_atom_site_occupancy
Mg1 0.000 0.000 0.000 1
Mg2 0.287 0.806 0.293 1
Ti1 0.036 0.705 0.521 1
Ti2 0.397 0.459 0.106 1
P1 0.080 0.595 0.836 1
P2 0.219 0.144 0.764 1
P3 0.399 0.230 0.365 1
O1 0.015 0.193 0.662 1
O2 0.062 0.547 0.659 1
O3 0.100 0.791 0.913 1
O4 0.132 0.538 0.161 1
O5 0.193 0.943 0.694 1
O6 0.221 0.195 0.937 1
O7 0.251 0.287 0.460 1
O8 0.275 0.034 0.242 1
O9 0.298 0.547 0.918 1
O10 0.371 0.764 0.508 1
O11 0.451 0.262 0.768 1
O12 0.454 0.360 0.277 1

# La3CoCu | the Alexandria database | meta-GGA SCAN | single point on PBEsol structure
# Fermi-level density of states (states/eV per atom): 1.146
# Crystal system: cubic
# Size of the total moment (μB per cell): 0.0
# E_form (eV per atom): 0.13
# Calculated volume (Å³/atom): 27.7
data_La3CoCu
_symmetry_space_group_name_H-M 'P m -3 m'
_symmetry_Int_Tables_number 221
_symmetry_space_group_name_Hall '-P 4 2 3'
_cell_length_a 5.176
_cell_length_b 5.176
_cell_length_c 5.176
_cell_angle_alpha 90.00
_cell_angle_beta 90.00
_cell_angle_gamma 90.00
loop_
_atom_site_label
_atom_site_fract_x
_atom_site_fract_y
_atom_site_fract_z
_atom_site_occupancy
La1 0.000 0.000 0.500 1
Co1 0.000 0.000 0.000 1
Cu1 0.500 0.500 0.500 1